[1]
The following is a DFT calculation (PBE-GGA) of a geometry-optimized CrMoW4 structure.

Energy relative to the lowest polymorph listed for this composition, eV per atom: 0.524
ΔH_f (0 K), eV per atom: 0.554

Lattice parameters (Å, degrees): 4.854 4.854 9.120 118.31 118.31 31.03
Element x y z (fractional)
Cr1 0.000 0.000 0.000
Mo1 0.000 0.000 0.500
W1 0.172 0.172 0.332
W2 0.179 0.179 0.842
W3 0.821 0.821 0.158
W4 0.828 0.828 0.668

[2]
The following is a DFT calculation (PBE-GGA) of a geometry-optimized LaZr2Al structure.

ΔH_f (0 K), eV per atom: -0.102

Lattice parameters (Å, degrees): 3.143 3.143 9.582 90.00 90.00 90.00
Element x y z (fractional)
La1 0.000 0.000 0.000
Zr1 0.500 0.500 0.295
Zr2 0.500 0.500 0.705
Al1 0.000 0.000 0.500

| no. | volume (Å³/atom) |
| --- | --- |
| 1 | 16.07 |
| 2 | 23.67 |